Nd2Cd17: optimized geometry, PBE.

Cell lengths 7.6770, 7.6770, 7.6770 Å; angles 82.24, 82.24, 82.24 degrees
Atoms (fractional coordinates):
Nd 0.1692 0.1692 0.1692
Nd 0.8308 0.8308 0.8308
Cd 0.0000 0.5000 0.5000
Cd 0.1405 0.1405 0.6619
Cd 0.1405 0.6619 0.1405
Cd 0.1998 0.5000 0.8002
Cd 0.1998 0.8002 0.5000
Cd 0.3381 0.8595 0.8595
Cd 0.3989 0.3989 0.3989
Cd 0.5000 0.0000 0.5000
Cd 0.5000 0.1998 0.8002
Cd 0.5000 0.5000 0.0000
Cd 0.5000 0.8002 0.1998
Cd 0.6011 0.6011 0.6011
Cd 0.6619 0.1405 0.1405
Cd 0.8002 0.1998 0.5000
Cd 0.8002 0.5000 0.1998
Cd 0.8595 0.3381 0.8595
Cd 0.8595 0.8595 0.3381

Values from the calculation:
* total moment: 0.00 μB/cell
* calculated formation energy: -0.1561 eV per atom
* space-group type: R-3m, No. 166

PrDyEr2As4: optimized geometry, PBE.

Cell lengths 7.1853, 4.1533, 7.1883 Å; angles 90.00, 109.48, 90.00 degrees
Atoms (fractional coordinates):
Pr 0.0000 0.0000 0.0000
Dy 0.0000 0.5000 0.5000
Er 0.5000 0.0000 0.5000
Er 0.5000 0.5000 0.0000
As 0.2562 0.0000 0.7470
As 0.2600 0.5000 0.2586
As 0.7400 0.5000 0.7414
As 0.7438 0.0000 0.2530

Values from the calculation:
* total moment: 0.00 μB/cell
* calculated formation energy: -1.5065 eV per atom
* space-group type: P2/m, No. 10

BaGe12Pd6: optimized geometry, PBE.

Cell lengths 7.6185, 7.6185, 7.6185 Å; angles 103.90, 103.90, 103.90 degrees
Atoms (fractional coordinates):
Ba 0.0000 0.0000 0.0000
Ge 0.1393 0.5000 0.8607
Ge 0.1393 0.8607 0.5000
Ge 0.1433 0.4568 0.4568
Ge 0.4568 0.1433 0.4568
Ge 0.4568 0.4568 0.1433
Ge 0.5000 0.1393 0.8607
Ge 0.5000 0.8607 0.1393
Ge 0.5432 0.5432 0.8567
Ge 0.5432 0.8567 0.5432
Ge 0.8567 0.5432 0.5432
Ge 0.8607 0.1393 0.5000
Ge 0.8607 0.5000 0.1393
Pd 0.2378 0.2378 0.6335
Pd 0.2378 0.6335 0.2378
Pd 0.3665 0.7622 0.7622
Pd 0.6335 0.2378 0.2378
Pd 0.7622 0.3665 0.7622
Pd 0.7622 0.7622 0.3665

Values from the calculation:
* total moment: 0.00 μB/cell
* calculated formation energy: -0.1935 eV per atom
* space-group type: R-3m, No. 166

LaAsHRh2: optimized geometry, PBE.

Cell lengths 5.8353, 5.8353, 7.2288 Å; angles 90.00, 90.00, 139.54 degrees
Atoms (fractional coordinates):
La 0.0623 0.9377 0.7500
La 0.9377 0.0623 0.2500
As 0.2186 0.7814 0.2500
As 0.7814 0.2186 0.7500
H 0.5000 0.5000 0.0000
H 0.5000 0.5000 0.5000
Rh 0.3388 0.6612 0.5517
Rh 0.3388 0.6612 0.9483
Rh 0.6612 0.3388 0.0517
Rh 0.6612 0.3388 0.4483

Values from the calculation:
* total moment: 0.00 μB/cell
* raw total energy: -6.33 eV per atom
* space-group type: Cmcm, No. 63

HfTePt2: optimized geometry, PBE.

Cell lengths 7.3996, 7.3996, 7.3996 Å; angles 132.39, 132.39, 69.61 degrees
Atoms (fractional coordinates):
Hf 0.0000 0.0000 0.0000
Hf 0.7500 0.2500 0.5000
Te 0.2500 0.7500 0.5000
Te 0.5000 0.5000 0.0000
Pt 0.1240 0.6250 0.9990
Pt 0.3750 0.3740 0.4990
Pt 0.6260 0.1250 0.0010
Pt 0.8750 0.8760 0.5010

Values from the calculation:
* total moment: 0.00 μB/cell
* formation energy without anion corrections: -1.0 eV/f.u.
* space-group type: I-42d, No. 122

TbAlIrPd: optimized geometry, PBE.

Cell lengths 4.6441, 4.6441, 4.6441 Å; angles 60.00, 60.00, 60.00 degrees
Atoms (fractional coordinates):
Tb 0.0000 0.0000 0.0000
Al 0.5000 0.5000 0.5000
Ir 0.7500 0.7500 0.7500
Pd 0.2500 0.2500 0.2500

Values from the calculation:
* total moment: 0.00 μB/cell
* calculated formation energy: -0.7649 eV per atom
* space-group type: F-43m, No. 216

BaLi2Hg: optimized geometry, PBE.

Cell lengths 3.9205, 3.9205, 7.6673 Å; angles 90.00, 90.00, 90.00 degrees
Atoms (fractional coordinates):
Ba 0.0000 0.0000 0.0000
Li 0.0000 0.0000 0.4632
Li 0.5000 0.5000 0.6448
Hg 0.5000 0.5000 0.2873

Values from the calculation:
* total moment: 0.00 μB/cell
* calculated formation energy: -0.2043 eV per atom
* space-group type: P4mm, No. 99

SiSb2Au: optimized geometry, PBE.

Cell lengths 4.0456, 4.0456, 6.9081 Å; angles 107.06, 107.06, 60.49 degrees
Atoms (fractional coordinates):
Si 0.0000 0.0000 0.0000
Sb 0.5205 0.5205 0.5596
Sb 0.7482 0.7482 0.2469
Au 0.2705 0.2705 0.8132

Values from the calculation:
* total moment: 0.00 μB/cell
* formation energy without anion corrections: 0.4 eV/f.u.
* space-group type: Cm, No. 8

CaFe2Ru2: optimized geometry, PBE.

Cell lengths 5.8139, 5.8139, 5.8139 Å; angles 138.38, 138.38, 60.32 degrees
Atoms (fractional coordinates):
Ca 0.0000 0.0000 0.0000
Fe 0.2500 0.7500 0.5000
Fe 0.7500 0.2500 0.5000
Ru 0.3810 0.3810 0.0000
Ru 0.6190 0.6190 0.0000

Values from the calculation:
* total moment: 4.91 μB/cell
* calculated formation energy: 0.2323 eV per atom
* energy relative to the lowest polymorph listed for this composition: 0.010 eV/atom
* space-group type: I4/mmm, No. 139

Rb3PdN: optimized geometry, PBE.

Cell lengths 5.6492, 5.6492, 5.6492 Å; angles 90.00, 90.00, 90.00 degrees
Atoms (fractional coordinates):
Rb 0.0000 0.0000 0.5000
Rb 0.0000 0.5000 0.0000
Rb 0.5000 0.0000 0.0000
Pd 0.5000 0.5000 0.5000
N 0.0000 0.0000 0.0000

Values from the calculation:
* total moment: 0.54 μB/cell
* energy relative to the lowest polymorph listed for this composition: 0.000 eV/atom
* formation energy without anion corrections: 3.6 eV/f.u.
* space-group type: Pm-3m, No. 221

LiSiAu5: optimized geometry, PBE.

Cell lengths 4.1646, 4.1646, 7.1094 Å; angles 90.00, 90.00, 90.00 degrees
Atoms (fractional coordinates):
Li 0.0000 0.0000 0.0000
Si 0.0000 0.0000 0.5000
Au 0.0000 0.5000 0.2863
Au 0.0000 0.5000 0.7137
Au 0.5000 0.0000 0.2863
Au 0.5000 0.0000 0.7137
Au 0.5000 0.5000 0.0000

Values from the calculation:
* total moment: 0.00 μB/cell
* formation energy without anion corrections: -1.3 eV/f.u.
* space-group type: P4/mmm, No. 123

V4Se: optimized geometry, PBE.

Cell lengths 4.4765, 4.4765, 4.4765 Å; angles 90.00, 90.00, 90.00 degrees
Atoms (fractional coordinates):
V 0.0000 0.0000 0.0000
V 0.0000 0.5000 0.5000
V 0.5000 0.0000 0.5000
V 0.5000 0.5000 0.0000
Se 0.5000 0.5000 0.5000

Values from the calculation:
* total moment: 0.56 μB/cell
* formation energy without anion corrections: 3.7 eV/f.u.
* space-group type: Pm-3m, No. 221